Arrangement P

## Mn2Be2Hg (PBE-GGA)

Data for a relaxed structure of Mn2Be2Hg.

The structure in CIF format:
```
data_Mn2Be2Hg
_space_group_name_H-M_alt 'P 4/m b m'
_space_group_IT_number 127
_space_group_name_Hall '-P 4 2ab'
_cell_length_a 6.277
_cell_length_b 6.277
_cell_length_c 3.201
_cell_angle_alpha 90.00
_cell_angle_beta 90.00
_cell_angle_gamma 90.00
loop_
_atom_site_label
_atom_site_type_symbol
_atom_site_fract_x
_atom_site_fract_y
_atom_site_fract_z
Mn1 Mn 0.160 0.340 0.000
Be1 Be 0.122 0.622 0.500
Hg1 Hg 0.000 0.000 0.500
```

***

Arrangement Q

## Mn2Be2Hg (PBE-GGA)

Data for a relaxed structure of Mn2Be2Hg.

The structure in CIF format:
```
data_Mn2Be2Hg
_space_group_name_H-M_alt 'I 4/m m m'
_space_group_IT_number 139
_space_group_name_Hall '-I 4 2'
_cell_length_a 3.284
_cell_length_b 3.284
_cell_length_c 11.431
_cell_angle_alpha 90.00
_cell_angle_beta 90.00
_cell_angle_gamma 90.00
loop_
_atom_site_label
_atom_site_type_symbol
_atom_site_fract_x
_atom_site_fract_y
_atom_site_fract_z
Mn1 Mn 0.000 0.500 0.250
Be1 Be 0.000 0.000 0.105
Hg1 Hg 0.000 0.000 0.500
```

***

It is arrangement P that is most stable; the runner-up trails by 35.6 kJ/mol of atoms.

***

Arrangement P

## MnBeHg3 (PBE-GGA)

Data for a relaxed structure of MnBeHg3.

The structure in CIF format:
```
data_MnBeHg3
_space_group_name_H-M_alt 'P m -3 m'
_space_group_IT_number 221
_space_group_name_Hall '-P 4 2 3'
_cell_length_a 5.244
_cell_length_b 5.244
_cell_length_c 5.244
_cell_angle_alpha 90.00
_cell_angle_beta 90.00
_cell_angle_gamma 90.00
loop_
_atom_site_label
_atom_site_type_symbol
_atom_site_fract_x
_atom_site_fract_y
_atom_site_fract_z
Mn1 Mn 0.000 0.000 0.000
Be1 Be 0.500 0.500 0.500
Hg1 Hg 0.000 0.000 0.500
```

***

Arrangement Q

## MnBeHg3 (PBE-GGA)

Data for a relaxed structure of MnBeHg3.

The structure in CIF format:
```
data_MnBeHg3
_space_group_name_H-M_alt 'P m -3 m'
_space_group_IT_number 221
_space_group_name_Hall '-P 4 2 3'
_cell_length_a 4.750
_cell_length_b 4.750
_cell_length_c 4.750
_cell_angle_alpha 90.00
_cell_angle_beta 90.00
_cell_angle_gamma 90.00
loop_
_atom_site_label
_atom_site_type_symbol
_atom_site_fract_x
_atom_site_fract_y
_atom_site_fract_z
Mn1 Mn 0.000 0.000 0.000
Be1 Be 0.500 0.500 0.500
Hg1 Hg 0.000 0.500 0.500
```

***

It is arrangement Q that is most stable; the runner-up trails by 40.0 kJ/mol of atoms.

***

Arrangement P

## Mn3BeHg (PBE-GGA)

Data for a relaxed structure of Mn3BeHg.

The structure in CIF format:
```
data_Mn3BeHg
_space_group_name_H-M_alt 'P m -3 m'
_space_group_IT_number 221
_space_group_name_Hall '-P 4 2 3'
_cell_length_a 4.987
_cell_length_b 4.987
_cell_length_c 4.987
_cell_angle_alpha 90.00
_cell_angle_beta 90.00
_cell_angle_gamma 90.00
loop_
_atom_site_label
_atom_site_type_symbol
_atom_site_fract_x
_atom_site_fract_y
_atom_site_fract_z
Mn1 Mn 0.000 0.000 0.500
Be1 Be 0.500 0.500 0.500
Hg1 Hg 0.000 0.000 0.000
```

***

Arrangement Q

## Mn3BeHg (PBE-GGA)

Data for a relaxed structure of Mn3BeHg.

The structure in CIF format:
```
data_Mn3BeHg
_space_group_name_H-M_alt 'P m -3 m'
_space_group_IT_number 221
_space_group_name_Hall '-P 4 2 3'
_cell_length_a 4.182
_cell_length_b 4.182
_cell_length_c 4.182
_cell_angle_alpha 90.00
_cell_angle_beta 90.00
_cell_angle_gamma 90.00
loop_
_atom_site_label
_atom_site_type_symbol
_atom_site_fract_x
_atom_site_fract_y
_atom_site_fract_z
Mn1 Mn 0.000 0.000 0.500
Be1 Be 0.000 0.000 0.000
Hg1 Hg 0.500 0.500 0.500
```

***

It is arrangement Q that is most stable; the runner-up trails by 106.1 kJ/mol of atoms.

***

Arrangement P

## BeHgMo (PBE-GGA)

Data for a relaxed structure of BeHgMo.

The structure in CIF format:
```
data_BeHgMo
_space_group_name_H-M_alt 'P 3 m 1'
_space_group_IT_number 156
_space_group_name_Hall 'P 3 -2"'
_cell_length_a 2.8677
_cell_length_b 2.8677
_cell_length_c 6.6981
_cell_angle_alpha 90.00
_cell_angle_beta 90.00
_cell_angle_gamma 120.00
loop_
_atom_site_label
_atom_site_type_symbol
_atom_site_fract_x
_atom_site_fract_y
_atom_site_fract_z
Be1 Be 0.0000 0.0000 0.0000
Hg1 Hg 0.3333 0.6667 0.3315
Mo1 Mo 0.6667 0.3333 0.7108
```

***

Arrangement Q

## BeHgMo (PBE-GGA)

Data for a relaxed structure of BeHgMo.

The structure in CIF format:
```
data_BeHgMo
_space_group_name_H-M_alt 'P -6 m 2'
_space_group_IT_number 187
_space_group_name_Hall 'P -6 2'
_cell_length_a 4.2729
_cell_length_b 4.2729
_cell_length_c 2.9320
_cell_angle_alpha 90.00
_cell_angle_beta 90.00
_cell_angle_gamma 120.00
loop_
_atom_site_label
_atom_site_type_symbol
_atom_site_fract_x
_atom_site_fract_y
_atom_site_fract_z
Be1 Be 0.0000 0.0000 0.0000
Hg1 Hg 0.6667 0.3333 0.0000
Mo1 Mo 0.3333 0.6667 0.5000
```

***

It is arrangement P that is most stable; the runner-up trails by 1.9 kJ/mol of atoms.

***

Arrangement P

## BeHgMo (PBE-GGA)

Data for a relaxed structure of BeHgMo.

The structure in CIF format:
```
data_BeHgMo
_space_group_name_H-M_alt 'F m m 2'
_space_group_IT_number 42
_space_group_name_Hall 'F 2 -2'
_cell_length_a 3.560
_cell_length_b 4.328
_cell_length_c 11.966
_cell_angle_alpha 90.00
_cell_angle_beta 90.00
_cell_angle_gamma 90.00
loop_
_atom_site_label
_atom_site_type_symbol
_atom_site_fract_x
_atom_site_fract_y
_atom_site_fract_z
Be1 Be 0.000 0.000 0.000
Hg1 Hg 0.000 0.000 0.338
Mo1 Mo 0.000 0.000 0.640
```

***

Arrangement Q

## BeHgMo (PBE-GGA)

Data for a relaxed structure of BeHgMo.

The structure in CIF format:
```
data_BeHgMo
_space_group_name_H-M_alt 'F -4 3 m'
_space_group_IT_number 216
_space_group_name_Hall 'F -4 2 3'
_cell_length_a 6.156
_cell_length_b 6.156
_cell_length_c 6.156
_cell_angle_alpha 90.00
_cell_angle_beta 90.00
_cell_angle_gamma 90.00
loop_
_atom_site_label
_atom_site_type_symbol
_atom_site_fract_x
_atom_site_fract_y
_atom_site_fract_z
Be1 Be 0.000 0.000 0.000
Hg1 Hg 0.000 0.000 0.500
Mo1 Mo 0.250 0.250 0.250
```

***

It is arrangement P that is most stable; the runner-up trails by 75.9 kJ/mol of atoms.

***

Arrangement P

## Be3HgMo (PBE-GGA)

Data for a relaxed structure of Be3HgMo.

The structure in CIF format:
```
data_Be3HgMo
_space_group_name_H-M_alt 'P m -3 m'
_space_group_IT_number 221
_space_group_name_Hall '-P 4 2 3'
_cell_length_a 4.351
_cell_length_b 4.351
_cell_length_c 4.351
_cell_angle_alpha 90.00
_cell_angle_beta 90.00
_cell_angle_gamma 90.00
loop_
_atom_site_label
_atom_site_type_symbol
_atom_site_fract_x
_atom_site_fract_y
_atom_site_fract_z
Be1 Be 0.000 0.000 0.500
Hg1 Hg 0.500 0.500 0.500
Mo1 Mo 0.000 0.000 0.000
```

***

Arrangement Q

## Be3HgMo (PBE-GGA)

Data for a relaxed structure of Be3HgMo.

The structure in CIF format:
```
data_Be3HgMo
_space_group_name_H-M_alt 'P m -3 m'
_space_group_IT_number 221
_space_group_name_Hall '-P 4 2 3'
_cell_length_a 4.293
_cell_length_b 4.293
_cell_length_c 4.293
_cell_angle_alpha 90.00
_cell_angle_beta 90.00
_cell_angle_gamma 90.00
loop_
_atom_site_label
_atom_site_type_symbol
_atom_site_fract_x
_atom_site_fract_y
_atom_site_fract_z
Be1 Be 0.000 0.000 0.500
Hg1 Hg 0.000 0.000 0.000
Mo1 Mo 0.500 0.500 0.500
```

***

It is arrangement P that is most stable; the runner-up trails by 3.7 kJ/mol of atoms.